1.
First-principles (GGA-PBE) data for a relaxed Sr4C2I5 crystal, as listed in the Alexandria database.

The space group is C2/m (No. 12) and the conventional cell measures 20.9896, 4.4706 and 8.9835 Å, with angles of 90.00, 104.90 and 90.00 degrees. Symmetry generates all atoms from Sr at (0.0002, 0.0000, 0.2069), Sr at (0.1625, 0.5000, 0.1027), C at (0.0318, 0.5000, 0.0154), I at (0.0000, 0.5000, 0.5000), I at (0.1613, 0.0000, 0.3628) and I at (0.1670, 0.0000, 0.8329).

The formation energy (no corrections) comes out at -1151 meV per atom. As for the total energy: -4.14 eV/atom. The calculation puts the theoretical density at 4.11 Mg/m³.

=====

2.
First-principles (GGA-PBE) data for a relaxed SrCI3 crystal, as listed in the Alexandria database.

The space group is Pm-3m (No. 221) and the conventional cell measures 5.2740, 5.2740 and 5.2740 Å, with angles of 90.00, 90.00 and 90.00 degrees. Symmetry generates all atoms from Sr at (0.0000, 0.0000, 0.0000), C at (0.5000, 0.5000, 0.5000) and I at (0.0000, 0.5000, 0.5000).

The formation energy (no corrections) comes out at 173 meV per atom. As for the total energy: -2.94 eV/atom. The calculation puts the theoretical density at 5.44 Mg/m³. The polymorph energy (0 for the lowest one) is 0 meV per atom.

=====

3.
First-principles (GGA-PBE) data for a relaxed SrTe2CI crystal, as listed in the Alexandria database.

The space group is P4/mmm (No. 123) and the conventional cell measures 6.5438, 6.5438 and 6.2542 Å, with angles of 90.00, 90.00 and 90.00 degrees. Symmetry generates all atoms from Sr at (0.0000, 0.0000, 0.0000), Te at (0.0000, 0.5000, 0.0000), C at (0.5000, 0.5000, 0.5000) and I at (0.0000, 0.0000, 0.5000).

The formation energy (no corrections) comes out at 1300 meV per atom. As for the total energy: -2.45 eV/atom. The calculation puts the theoretical density at 2.99 Mg/m³. The polymorph energy (0 for the lowest one) is 1068 meV per atom.

=====

4.
First-principles (GGA-PBE) data for a relaxed SrTeCI2 crystal, as listed in the Alexandria database.

The space group is P4/mmm (No. 123) and the conventional cell measures 5.2703, 5.2703 and 5.0079 Å, with angles of 90.00, 90.00 and 90.00 degrees. Symmetry generates all atoms from Sr at (0.0000, 0.0000, 0.0000), Te at (0.5000, 0.5000, 0.0000), C at (0.5000, 0.5000, 0.5000) and I at (0.0000, 0.5000, 0.5000).

The formation energy (no corrections) comes out at 210 meV per atom. As for the total energy: -3.22 eV/atom. The calculation puts the theoretical density at 5.74 Mg/m³. The polymorph energy (0 for the lowest one) is 0 meV per atom.

=====

5.
First-principles (GGA-PBE) data for a relaxed SrTe2CI crystal, as listed in the Alexandria database.

The space group is P4/mmm (No. 123) and the conventional cell measures 4.8740, 4.8740 and 5.7571 Å, with angles of 90.00, 90.00 and 90.00 degrees. Symmetry generates all atoms from Sr at (0.0000, 0.0000, 0.0000), Te at (0.0000, 0.5000, 0.5000), C at (0.5000, 0.5000, 0.5000) and I at (0.5000, 0.5000, 0.0000).

The formation energy (no corrections) comes out at 232 meV per atom. As for the total energy: -3.52 eV/atom. The calculation puts the theoretical density at 5.85 Mg/m³. The polymorph energy (0 for the lowest one) is 0 meV per atom.

=====

6.
First-principles (GGA-PBE) data for a relaxed SrTeCI2 crystal, as listed in the Alexandria database.

The space group is P4/mmm (No. 123) and the conventional cell measures 6.3556, 6.3556 and 6.6265 Å, with angles of 90.00, 90.00 and 90.00 degrees. Symmetry generates all atoms from Sr at (0.0000, 0.0000, 0.0000), Te at (0.0000, 0.0000, 0.5000), C at (0.5000, 0.5000, 0.5000) and I at (0.0000, 0.5000, 0.0000).

The formation energy (no corrections) comes out at 1113 meV per atom. As for the total energy: -2.32 eV/atom. The calculation puts the theoretical density at 2.98 Mg/m³. The polymorph energy (0 for the lowest one) is 903 meV per atom.

=====

Q: The highest formation energy (no corrections) belongs to which entry?
A: number 3

=====

Q: What is the formation energy (no corrections) in the fifth record?
A: 232 meV per atom

=====

Q: Among the records above, which one has the lowest formation energy (no corrections)?
A: Sr4C2I5